No. 1
Material: AcPSe
Method: DFT, GGA-PBE
State: optimized geometry

Cell lengths 5.9621, 6.0995, 18.1741 Å; angles 90.00, 90.00, 90.00 degrees
Fractional coordinates of all 24 atoms:
Se  0.7500  0.9841  0.3095
Se  0.2500  0.5159  0.8095
P  0.9426  0.8234  0.5028
Se  0.2500  0.9839  0.1780
Ac  0.2500  0.9799  0.3535
P  0.9426  0.3234  0.9972
Ac  0.7500  0.0201  0.6465
Ac  0.7500  0.9817  0.1301
P  0.0574  0.1766  0.4972
P  0.5574  0.8234  0.5028
Se  0.2500  0.0159  0.6905
Ac  0.2500  0.5183  0.6301
P  0.5574  0.3234  0.9972
Se  0.7500  0.5161  0.6780
Ac  0.7500  0.4817  0.3699
P  0.0574  0.6766  0.0028
Se  0.7500  0.4841  0.1905
Ac  0.2500  0.4799  0.1465
Ac  0.2500  0.0183  0.8699
Ac  0.7500  0.5201  0.8535
Se  0.7500  0.0161  0.8220
P  0.4426  0.1766  0.4972
P  0.4426  0.6766  0.0028
Se  0.2500  0.4839  0.3220

Properties
uncorrected energy	-5.84	eV/atom

=====

No. 2
Material: Ac2PSe
Method: DFT, GGA-PBE
State: optimized geometry

Cell lengths 4.4375, 6.2955, 8.9731 Å; angles 90.00, 90.00, 90.00 degrees
Fractional coordinates of all 8 atoms:
Ac  0.0000  0.0000  0.8590
Ac  0.0000  0.0000  0.3878
Se  0.5000  0.0000  0.1219
P  0.0000  0.5000  0.3728
Ac  0.5000  0.5000  0.6122
Ac  0.5000  0.5000  0.1410
P  0.5000  0.0000  0.6272
Se  0.0000  0.5000  0.8781

Properties
uncorrected energy	-6.02	eV/atom

=====

No. 3
Material: Ac4SiPSe2
Method: DFT, GGA-PBE
State: optimized geometry

Cell lengths 4.5051, 7.7913, 7.8314 Å; angles 109.42, 90.00, 90.00 degrees
Fractional coordinates of all 8 atoms:
Se  0.5000  0.0000  0.5000
Ac  0.0000  0.7458  0.2364
Se  0.0000  0.5000  0.5000
Ac  0.5000  0.2446  0.2341
Ac  0.5000  0.7554  0.7659
Ac  0.0000  0.2542  0.7636
Si  0.5000  0.5000  0.0000
P  0.0000  0.0000  0.0000

Properties
uncorrected energy	-5.80	eV/atom

=====

No. 4
Material: Ac6Si2PSe3
Method: DFT, GGA-PBE
State: optimized geometry

Cell lengths 4.5256, 9.0571, 10.1249 Å; angles 103.06, 102.91, 90.00 degrees
Fractional coordinates of all 12 atoms:
Ac  0.3306  0.4243  0.6611
Ac  0.6694  0.5757  0.3389
Si  0.1654  0.3305  0.3308
Se  0.8342  0.1660  0.6684
Ac  0.9966  0.7592  0.9932
Se  0.1658  0.8340  0.3316
Ac  0.0034  0.2408  0.0068
Ac  0.6633  0.0906  0.3266
Ac  0.3367  0.9094  0.6734
Si  0.8346  0.6695  0.6692
P  0.5000  0.0000  0.0000
Se  0.5000  0.5000  0.0000

Properties
uncorrected energy	-5.71	eV/atom

=====

Computed ΔE_f (raw) (meV/atom) in order:
-1504; -1747; -1518; -1431
Computed calculated volume (Å³/cell) in order:
660.92; 250.68; 259.25; 393.49
Computed size of the total moment (Bohr magnetons per cell) in order:
0.00; 0.00; 0.00; 0.00